(1)
Density functional theory data (PBE) for a relaxed TmZrCdGa crystal.

Summary:
The calculation puts the total DFT energy (no corrections) at -4.55 eV per atom. As for the space group: F-43m (216). The formation energy from the elements is -1.23 eV/f.u.

Unit cell a=4.9688 b=4.9688 c=4.9688 alpha=60.00 beta=60.00 gamma=60.00
Positions (direct):
Tm 0.0000 0.0000 0.0000
Ga 0.2500 0.2500 0.2500
Zr 0.5000 0.5000 0.5000
Cd 0.7500 0.7500 0.7500

(2)
Density functional theory data (PBE) for a relaxed UCdGa4 crystal.

Summary:
The calculation puts the total DFT energy (no corrections) at -3.99 eV per atom. As for the space group: F-43m (216). The formation energy from the elements is 0.39 eV/f.u.

Unit cell a=5.5338 b=5.5338 c=5.5338 alpha=60.00 beta=60.00 gamma=60.00
Positions (direct):
U 0.0000 0.0000 0.0000
Ga 0.6256 0.6256 0.1232
Ga 0.6256 0.1232 0.6256
Ga 0.6256 0.6256 0.6256
Ga 0.1232 0.6256 0.6256
Cd 0.2500 0.2500 0.2500

(3)
Density functional theory data (PBE) for a relaxed U2CdGa9 crystal.

Summary:
The calculation puts the total DFT energy (no corrections) at -4.32 eV per atom. As for the space group: P4/mmm (123). The formation energy from the elements is -1.14 eV/f.u.

Unit cell a=4.2676 b=4.2676 c=12.7839 alpha=90.00 beta=90.00 gamma=90.00
Positions (direct):
U 0.0000 0.0000 0.3318
U 0.0000 0.0000 0.6682
Cd 0.0000 0.0000 0.0000
Ga 0.5000 0.5000 0.0000
Ga 0.5000 0.5000 0.3410
Ga 0.5000 0.5000 0.6590
Ga 0.5000 0.0000 0.1639
Ga 0.5000 0.0000 0.5000
Ga 0.5000 0.0000 0.8361
Ga 0.0000 0.5000 0.1639
Ga 0.0000 0.5000 0.5000
Ga 0.0000 0.5000 0.8361

(4)
Density functional theory data (PBE) for a relaxed VCd3Ga crystal.

Summary:
The calculation puts the total DFT energy (no corrections) at -2.17 eV per atom. As for the space group: Pm-3m (221). The distance to the lowest polymorph of the same formula is 59 meV/atom. The formation energy from the elements is 4.04 eV/f.u.

Unit cell a=5.0849 b=5.0849 c=5.0849 alpha=90.00 beta=90.00 gamma=90.00
Positions (direct):
Cd 0.0000 0.5000 0.0000
Cd 0.0000 0.0000 0.5000
Cd 0.5000 0.0000 0.0000
Ga 0.0000 0.0000 0.0000
V 0.5000 0.5000 0.5000